# 1
A geometry-optimized YTaCd structure. Source: Alexandria via LeMat-Bulk, functional PBE.

Values from the calculation:
Density of states at the Fermi level (states/eV per cell): 4.37
Energy (eV/atom): -6.0178
Volume (Å³/cell): 68.5
Formation energy (eV per atom): 0.393
Relative energy among the computed polymorphs (meV per atom): 214

Unit cell a=5.118 b=5.118 c=3.019 alpha=90.00 beta=90.00 gamma=120.00
Positions (direct):
Cd 0.000 0.000 0.167
Ta 0.667 0.333 0.166
Y 0.333 0.667 0.667



# 2
A geometry-optimized Y2TaCd structure. Source: Alexandria via LeMat-Bulk, functional PBE.

Values from the calculation:
Density of states at the Fermi level (states/eV per cell): 4.09
Energy (eV/atom): -6.2366
Volume (Å³/cell): 100.9
Formation energy (eV per atom): 0.187

Unit cell a=6.469 b=6.469 c=6.469 alpha=150.06 beta=131.23 gamma=58.29
Positions (direct):
Cd 0.479 0.479 0.000
Ta 0.269 0.769 0.500
Y 0.023 0.023 0.000
Y 0.729 0.229 0.500



# 3
A geometry-optimized Y4TaCd structure. Source: Alexandria via LeMat-Bulk, functional PBE.

Values from the calculation:
Density of states at the Fermi level (states/eV per cell): 3.85
Energy (eV/atom): -5.7645
Volume (Å³/cell): 165.8
Formation energy (eV per atom): 0.673

Unit cell a=6.167 b=6.167 c=6.167 alpha=60.00 beta=60.00 gamma=60.00
Site moments in Bohr magnetons follow the coordinates.
Positions (direct):
Y 0.879 0.374 0.374  -0.03
Y 0.374 0.374 0.879  -0.03
Y 0.374 0.879 0.374  -0.03
Y 0.374 0.374 0.374  -0.03
Ta 0.000 0.000 0.000  0.81
Cd 0.750 0.750 0.750  -0.01



# 4
A geometry-optimized YTa4Cd structure. Source: Alexandria via LeMat-Bulk, functional PBE.

Values from the calculation:
Density of states at the Fermi level (states/eV per cell): 7.10
Energy (eV/atom): -8.8226
Volume (Å³/cell): 128.0
Formation energy (eV per atom): 0.309

Unit cell a=5.657 b=5.657 c=5.657 alpha=60.00 beta=60.00 gamma=60.00
Positions (direct):
Y 0.750 0.750 0.750
Ta 0.868 0.377 0.377
Ta 0.377 0.377 0.868
Ta 0.377 0.868 0.377
Ta 0.377 0.377 0.377
Cd 0.000 0.000 0.000



# 5
A geometry-optimized Y2TaCd structure. Source: Alexandria via LeMat-Bulk, functional PBE.

Values from the calculation:
Density of states at the Fermi level (states/eV per cell): 10.62
Energy (eV/atom): -5.6820
Volume (Å³/cell): 207.6
Formation energy (eV per atom): 0.742

Unit cell a=4.428 b=4.428 c=11.039 alpha=78.43 beta=78.43 gamma=90.00
Positions (direct):
Y 0.631 0.125 0.250
Y 0.119 0.625 0.250
Y 0.375 0.369 0.750
Y 0.875 0.881 0.750
Cd 0.500 0.500 0.000
Cd 0.250 0.750 0.500
Ta 0.000 0.000 0.000
Ta 0.750 0.250 0.500



# 6
A geometry-optimized YTaCd structure. Source: Alexandria via LeMat-Bulk, functional PBE.

Values from the calculation:
Density of states at the Fermi level (states/eV per cell): 4.39
Energy (eV/atom): -5.5646
Volume (Å³/cell): 78.5
Formation energy (eV per atom): 0.846
Relative energy among the computed polymorphs (meV per atom): 667

Unit cell a=4.807 b=4.807 c=4.807 alpha=60.00 beta=60.00 gamma=60.00
Positions (direct):
Cd 0.750 0.750 0.750
Ta 0.000 0.000 0.000
Y 0.500 0.500 0.500



# 7
A geometry-optimized YTaCd structure. Source: Alexandria via LeMat-Bulk, functional PBE.

Values from the calculation:
Density of states at the Fermi level (states/eV per cell): 5.21
Energy (eV/atom): -5.1161
Volume (Å³/cell): 85.5
Formation energy (eV per atom): 1.294
Relative energy among the computed polymorphs (meV per atom): 1116

Unit cell a=4.944 b=4.944 c=4.944 alpha=60.00 beta=60.00 gamma=60.00
Site moments in Bohr magnetons follow the coordinates.
Positions (direct):
Cd 0.000 0.000 0.000  -0.02
Ta 0.500 0.500 0.500  1.53
Y 0.750 0.750 0.750  0.40



# 8
A geometry-optimized YTaCd structure. Source: Alexandria via LeMat-Bulk, functional PBE.

Values from the calculation:
Density of states at the Fermi level (states/eV per cell): 2.58
Energy (eV/atom): -6.2318
Volume (Å³/cell): 67.4
Formation energy (eV per atom): 0.179
Relative energy among the computed polymorphs (meV per atom): 0

Unit cell a=7.505 b=7.506 c=3.061 alpha=78.23 beta=78.24 gamma=23.54
Positions (direct):
Cd 0.992 0.992 0.008
Ta 0.335 0.335 0.665
Y 0.673 0.673 0.327